# LiUTl2O6

An optimized crystal structure of LiUTl2O6 (PBE, the Alexandria database).

As for the density of states at the Fermi level: 8.49 states/eV/f.u. The uncorrected formation energy is -1521 meV/atom. For the calculated total energy, the calculation gives -62.893 eV/f.u. The calculation puts the mass density at 8.64 Mg/m³.

The space group is P4mm (No. 99) and the conventional cell measures 5.5224, 5.5224 and 4.7273 Å, with angles of 90.00, 90.00 and 90.00 degrees. The inequivalent atoms are Li at (0.0000, 0.0000, 0.0000), U at (0.5000, 0.5000, 0.0499), Tl at (0.0000, 0.5000, 0.5205), O at (0.0000, 0.0000, 0.5664), O at (0.2503, 0.2503, 0.0634) and O at (0.5000, 0.5000, 0.5531).


# Li2UTl2O6

An optimized crystal structure of Li2UTl2O6 (PBE, the Alexandria database).

As for the density of states at the Fermi level: 8.20 states/eV/f.u. The uncorrected formation energy is -1718 meV/atom. For the calculated total energy, the calculation gives -68.501 eV/f.u. The calculation puts the mass density at 7.57 Mg/m³.

The space group is R-3m (No. 166, hexagonal axes) and the conventional cell measures 6.0533, 6.0533 and 15.6944 Å, with angles of 90.00, 90.00 and 120.00 degrees. The inequivalent atoms are Li at (0.0000, 0.0000, 0.0853), U at (0.0000, 0.0000, 0.5000), Tl at (0.0000, 0.0000, 0.2828) and O at (0.0213, 0.5107, 0.2467).